Record 1
VASP calculation (PBE) on a relaxed structure of In3Ag2.

The structure in CIF format:
```
data_In3Ag2
_space_group_name_H-M_alt 'P 4/m b m'
_space_group_IT_number 127
_space_group_name_Hall '-P 4 2ab'
_cell_length_a 7.864
_cell_length_b 7.864
_cell_length_c 3.774
_cell_angle_alpha 90.00
_cell_angle_beta 90.00
_cell_angle_gamma 90.00
loop_
_atom_site_label
_atom_site_type_symbol
_atom_site_fract_x
_atom_site_fract_y
_atom_site_fract_z
_atom_site_occupancy
In1 In 0.000 0.000 0.000 1
In2 In 0.169 0.331 0.500 1
Ag1 Ag 0.130 0.630 0.000 1
```

Calculated values
Uncorrected energy ... -0.100 hartree per atom

Record 2
VASP calculation (PBE) on a relaxed structure of Hf2ZnPt.

The structure in CIF format:
```
data_Hf2ZnPt
_space_group_name_H-M_alt 'F -4 3 m'
_space_group_IT_number 216
_space_group_name_Hall 'F -4 2 3'
_cell_length_a 6.598
_cell_length_b 6.598
_cell_length_c 6.598
_cell_angle_alpha 90.00
_cell_angle_beta 90.00
_cell_angle_gamma 90.00
loop_
_atom_site_label
_atom_site_type_symbol
_atom_site_fract_x
_atom_site_fract_y
_atom_site_fract_z
_atom_site_occupancy
Hf1 Hf 0.000 0.000 0.000 1
Hf2 Hf 0.250 0.250 0.250 1
Zn1 Zn 0.250 0.250 0.750 1
Pt1 Pt 0.000 0.000 0.500 1
```

Calculated values
Energy relative to the elements ... -0.98 eV/f.u.
Uncorrected energy ... -0.259 hartree per atom

Record 3
VASP calculation (PBE) on a relaxed structure of Ho4SiTe3.

The structure in CIF format:
```
data_Ho4SiTe3
_space_group_name_H-M_alt 'C m m m'
_space_group_IT_number 65
_space_group_name_Hall '-C 2 2'
_cell_length_a 8.672
_cell_length_b 12.161
_cell_length_c 4.248
_cell_angle_alpha 90.00
_cell_angle_beta 90.00
_cell_angle_gamma 90.00
loop_
_atom_site_label
_atom_site_type_symbol
_atom_site_fract_x
_atom_site_fract_y
_atom_site_fract_z
_atom_site_occupancy
Ho1 Ho 0.000 0.231 0.000 1
Ho2 Ho 0.221 0.000 0.500 1
Si1 Si 0.000 0.000 0.000 1
Te1 Te 0.000 0.500 0.000 1
Te2 Te 0.250 0.250 0.500 1
```

Calculated values
Uncorrected energy ... -0.197 hartree per atom

Record 4
VASP calculation (PBE) on a relaxed structure of Gd3TmPb2N2.

The structure in CIF format:
```
data_Gd3TmPb2N2
_space_group_name_H-M_alt 'P 3 m 1'
_space_group_IT_number 156
_space_group_name_Hall 'P 3 -2"'
_cell_length_a 3.5626
_cell_length_b 3.5626
_cell_length_c 15.7145
_cell_angle_alpha 90.00
_cell_angle_beta 90.00
_cell_angle_gamma 120.00
loop_
_atom_site_label
_atom_site_type_symbol
_atom_site_fract_x
_atom_site_fract_y
_atom_site_fract_z
_atom_site_occupancy
Gd1 Gd 0.0000 0.0000 0.0000 1
Gd2 Gd 0.0000 0.0000 0.3340 1
Gd3 Gd 0.3333 0.6667 0.5029 1
Tm1 Tm 0.3333 0.6667 0.8353 1
Pb1 Pb 0.0000 0.0000 0.6713 1
Pb2 Pb 0.3333 0.6667 0.1664 1
N1 N 0.6667 0.3333 0.4183 1
N2 N 0.6667 0.3333 0.9109 1
```

Calculated values
Uncorrected energy ... -0.235 hartree per atom